[1]
Below is a relaxed Ce3Th3O11 crystal, with properties calculated at the GGA-PBE level.

Output
ΔE_f (raw): -3662 meV per atom

The structure in CIF format:
```
data_Ce3Th3O11
_space_group_name_H-M_alt 'P 1 m 1'
_space_group_IT_number 6
_cell_length_a 6.8646
_cell_length_b 3.9285
_cell_length_c 9.6781
_cell_angle_alpha 90.00
_cell_angle_beta 90.11
_cell_angle_gamma 90.00
loop_
_space_group_symop_operation_xyz
'x,y,z'
'x,-y,z'
loop_
_atom_site_label
_atom_site_type_symbol
_atom_site_fract_x
_atom_site_fract_y
_atom_site_fract_z
Ce1 Ce 0.0000 0.0000 0.0000
Ce2 Ce 0.1810 0.5000 0.3497
Ce3 Ce 0.6531 0.0000 0.3446
Th1 Th 0.3359 0.0000 0.6798
Th2 Th 0.5080 0.5000 0.0157
Th3 Th 0.8369 0.5000 0.6727
O1 O 0.0030 0.0000 0.7579
O2 O 0.1464 0.5000 0.1120
O3 O 0.1715 0.5000 0.5983
O4 O 0.3198 0.0000 0.4224
O5 O 0.3415 0.0000 0.9339
O6 O 0.4994 0.5000 0.2610
O7 O 0.5026 0.5000 0.7614
O8 O 0.6664 0.0000 0.5892
O9 O 0.6875 0.0000 0.1030
O10 O 0.8304 0.5000 0.9200
O11 O 0.8541 0.5000 0.4092
```



[2]
Below is a relaxed Sm2NpTl2S6 crystal, with properties calculated at the GGA-PBE level.

Output
ΔE_f (raw): -1407 meV per atom

The structure in CIF format:
```
data_Sm2NpTl2S6
_space_group_name_H-M_alt 'C 1 2/m 1'
_space_group_IT_number 12
_cell_length_a 7.0742
_cell_length_b 12.2211
_cell_length_c 7.9073
_cell_angle_alpha 90.00
_cell_angle_beta 107.66
_cell_angle_gamma 90.00
loop_
_space_group_symop_operation_xyz
'x,y,z'
'-x,-y,-z'
'-x,y,-z'
'x,-y,z'
'x+1/2,y+1/2,z'
'-x+1/2,-y+1/2,-z'
'-x+1/2,y+1/2,-z'
'x+1/2,-y+1/2,z'
loop_
_atom_site_label
_atom_site_type_symbol
_atom_site_fract_x
_atom_site_fract_y
_atom_site_fract_z
Sm1 Sm 0.0000 0.1664 0.0000
Np1 Np 0.0000 0.5000 0.0000
Tl1 Tl 0.0000 0.3309 0.5000
S1 S 0.2259 0.3380 0.1954
S2 S 0.2488 0.0000 0.1971
```



[3]
Below is a relaxed UNbS2 crystal, with properties calculated at the GGA-PBE level.

Output
ΔE_f (raw): -1026 meV per atom

The structure in CIF format:
```
data_UNbS2
_space_group_name_H-M_alt 'P 1 21/m 1'
_space_group_IT_number 11
_cell_length_a 5.2713
_cell_length_b 3.9951
_cell_length_c 6.8606
_cell_angle_alpha 90.00
_cell_angle_beta 92.42
_cell_angle_gamma 90.00
loop_
_space_group_symop_operation_xyz
'x,y,z'
'-x,-y,-z'
'-x,y+1/2,-z'
'x,-y+1/2,z'
loop_
_atom_site_label
_atom_site_type_symbol
_atom_site_fract_x
_atom_site_fract_y
_atom_site_fract_z
U1 U 0.2479 0.2500 0.3551
Nb1 Nb 0.2846 0.2500 0.8463
S1 S 0.2194 0.7500 0.0910
S2 S 0.2527 0.7500 0.6257
```



[4]
Below is a relaxed Co3RuAu crystal, with properties calculated at the GGA-PBE level.

Output
Final energy: -4.89 eV per atom

The structure in CIF format:
```
data_Co3RuAu
_space_group_name_H-M_alt 'P m -3 m'
_space_group_IT_number 221
_space_group_name_Hall '-P 4 2 3'
_cell_length_a 4.5923
_cell_length_b 4.5923
_cell_length_c 4.5923
_cell_angle_alpha 90.00
_cell_angle_beta 90.00
_cell_angle_gamma 90.00
loop_
_atom_site_label
_atom_site_type_symbol
_atom_site_fract_x
_atom_site_fract_y
_atom_site_fract_z
Co1 Co 0.0000 0.0000 0.5000
Ru1 Ru 0.5000 0.5000 0.5000
Au1 Au 0.0000 0.0000 0.0000
```



[5]
Below is a relaxed Sm4Sb3 crystal, with properties calculated at the GGA-PBE level.

Output
ΔE_f (raw): -1048 meV per atom

The structure in CIF format:
```
data_Sm4Sb3
_space_group_name_H-M_alt 'I -4 3 d'
_space_group_IT_number 220
_space_group_name_Hall 'I -4bd 2c 3'
_cell_length_a 9.3941
_cell_length_b 9.3941
_cell_length_c 9.3941
_cell_angle_alpha 90.00
_cell_angle_beta 90.00
_cell_angle_gamma 90.00
loop_
_atom_site_label
_atom_site_type_symbol
_atom_site_fract_x
_atom_site_fract_y
_atom_site_fract_z
Sm1 Sm 0.0711 0.4289 0.5711
Sb1 Sb 0.0000 0.2500 0.8750
```



[6]
Below is a relaxed ZrHg2Os crystal, with properties calculated at the GGA-PBE level.

Output
Final energy: -4.73 eV per atom

The structure in CIF format:
```
data_ZrHg2Os
_space_group_name_H-M_alt 'P m m m'
_space_group_IT_number 47
_cell_length_a 3.0290
_cell_length_b 4.4010
_cell_length_c 5.7346
_cell_angle_alpha 90.00
_cell_angle_beta 90.00
_cell_angle_gamma 90.00
loop_
_space_group_symop_operation_xyz
'x,y,z'
'-x,-y,-z'
'-x,-y,z'
'x,y,-z'
'x,-y,-z'
'-x,y,z'
'-x,y,-z'
'x,-y,z'
loop_
_atom_site_label
_atom_site_type_symbol
_atom_site_fract_x
_atom_site_fract_y
_atom_site_fract_z
Zr1 Zr 0.0000 0.0000 0.0000
Hg1 Hg 0.5000 0.5000 0.2582
Os1 Os 0.0000 0.0000 0.5000
```



[7]
Below is a relaxed Y2SiSnRh crystal, with properties calculated at the GGA-PBE level.

Output
ΔE_f (raw): -504 meV per atom

The structure in CIF format:
```
data_Y2SiSnRh
_space_group_name_H-M_alt 'P 4/m m m'
_space_group_IT_number 123
_space_group_name_Hall '-P 4 2'
_cell_length_a 5.3534
_cell_length_b 5.3534
_cell_length_c 4.5319
_cell_angle_alpha 90.00
_cell_angle_beta 90.00
_cell_angle_gamma 90.00
loop_
_atom_site_label
_atom_site_type_symbol
_atom_site_fract_x
_atom_site_fract_y
_atom_site_fract_z
Y1 Y 0.0000 0.5000 0.0000
Si1 Si 0.0000 0.0000 0.5000
Sn1 Sn 0.5000 0.5000 0.5000
Rh1 Rh 0.0000 0.0000 0.0000
```



[8]
Below is a relaxed NdSmZnCu crystal, with properties calculated at the GGA-PBE level.

Output
Final energy: -3.95 eV per atom

The structure in CIF format:
```
data_NdSmZnCu
_space_group_name_H-M_alt 'P 4 m m'
_space_group_IT_number 99
_cell_length_a 3.6202
_cell_length_b 3.6202
_cell_length_c 7.2277
_cell_angle_alpha 90.00
_cell_angle_beta 90.00
_cell_angle_gamma 90.00
loop_
_space_group_symop_operation_xyz
'x,y,z'
'-y,x,z'
'-x,-y,z'
'y,-x,z'
'-x,y,z'
'y,x,z'
'x,-y,z'
'-y,-x,z'
loop_
_atom_site_label
_atom_site_type_symbol
_atom_site_fract_x
_atom_site_fract_y
_atom_site_fract_z
Nd1 Nd 0.0000 0.0000 0.0000
Sm1 Sm 0.0000 0.0000 0.4888
Zn1 Zn 0.5000 0.5000 0.7392
Cu1 Cu 0.5000 0.5000 0.2548
```



[9]
Below is a relaxed MgHg5Pb4 crystal, with properties calculated at the GGA-PBE level.

Output
Final energy: -1.79 eV per atom

The structure in CIF format:
```
data_MgHg5Pb4
_space_group_name_H-M_alt 'P 1'
_space_group_IT_number 1
_cell_length_a 5.9384
_cell_length_b 6.1341
_cell_length_c 8.8185
_cell_angle_alpha 76.47
_cell_angle_beta 72.79
_cell_angle_gamma 64.31
loop_
_space_group_symop_operation_xyz
'x,y,z'
loop_
_atom_site_label
_atom_site_type_symbol
_atom_site_fract_x
_atom_site_fract_y
_atom_site_fract_z
Mg1 Mg 0.0000 0.0000 0.0000
Hg1 Hg 0.1308 0.0179 0.3038
Hg2 Hg 0.2861 0.0341 0.6592
Hg3 Hg 0.4793 0.5578 0.9002
Hg4 Hg 0.5277 0.0136 0.9685
Hg5 Hg 0.9548 0.4800 0.0532
Pb1 Pb 0.0239 0.6361 0.6664
Pb2 Pb 0.3990 0.4145 0.2872
Pb3 Pb 0.7025 0.2784 0.5975
Pb4 Pb 0.7176 0.7771 0.3552
```



[10]
Below is a relaxed YZrSc crystal, with properties calculated at the GGA-PBE level.

Output
Final energy: -6.27 eV per atom

The structure in CIF format:
```
data_YZrSc
_space_group_name_H-M_alt 'F -4 3 m'
_space_group_IT_number 216
_space_group_name_Hall 'F -4 2 3'
_cell_length_a 7.1974
_cell_length_b 7.1974
_cell_length_c 7.1974
_cell_angle_alpha 90.00
_cell_angle_beta 90.00
_cell_angle_gamma 90.00
loop_
_atom_site_label
_atom_site_type_symbol
_atom_site_fract_x
_atom_site_fract_y
_atom_site_fract_z
Y1 Y 0.0000 0.0000 0.0000
Zr1 Zr 0.2500 0.2500 0.7500
Sc1 Sc 0.0000 0.0000 0.5000
```



[11]
Below is a relaxed NdTmZnOs crystal, with properties calculated at the GGA-PBE level.

Output
Final energy: -5.63 eV per atom

The structure in CIF format:
```
data_NdTmZnOs
_space_group_name_H-M_alt 'F -4 3 m'
_space_group_IT_number 216
_space_group_name_Hall 'F -4 2 3'
_cell_length_a 7.0187
_cell_length_b 7.0187
_cell_length_c 7.0187
_cell_angle_alpha 90.00
_cell_angle_beta 90.00
_cell_angle_gamma 90.00
loop_
_atom_site_label
_atom_site_type_symbol
_atom_site_fract_x
_atom_site_fract_y
_atom_site_fract_z
Nd1 Nd 0.0000 0.0000 0.0000
Tm1 Tm 0.0000 0.0000 0.5000
Zn1 Zn 0.2500 0.2500 0.7500
Os1 Os 0.2500 0.2500 0.2500
```



[12]
Below is a relaxed Ca3Y crystal, with properties calculated at the GGA-PBE level.

Output
Final energy: -3.01 eV per atom

The structure in CIF format:
```
data_Ca3Y
_space_group_name_H-M_alt 'C 1 2/m 1'
_space_group_IT_number 12
_cell_length_a 12.7209
_cell_length_b 3.7561
_cell_length_c 6.6358
_cell_angle_alpha 90.00
_cell_angle_beta 100.02
_cell_angle_gamma 90.00
loop_
_space_group_symop_operation_xyz
'x,y,z'
'-x,-y,-z'
'-x,y,-z'
'x,-y,z'
'x+1/2,y+1/2,z'
'-x+1/2,-y+1/2,-z'
'-x+1/2,y+1/2,-z'
'x+1/2,-y+1/2,z'
loop_
_atom_site_label
_atom_site_type_symbol
_atom_site_fract_x
_atom_site_fract_y
_atom_site_fract_z
Ca1 Ca 0.0000 0.0000 0.0000
Ca2 Ca 0.2462 0.0000 0.7443
Y1 Y 0.0000 0.5000 0.5000
```



[13]
Below is a relaxed Sc2InF crystal, with properties calculated at the GGA-PBE level.

Output
ΔE_f (raw): -1247 meV per atom

The structure in CIF format:
```
data_Sc2InF
_space_group_name_H-M_alt 'I -4 2 d'
_space_group_IT_number 122
_space_group_name_Hall 'I -4 2bw'
_cell_length_a 6.7713
_cell_length_b 6.7713
_cell_length_c 7.0481
_cell_angle_alpha 90.00
_cell_angle_beta 90.00
_cell_angle_gamma 90.00
loop_
_atom_site_label
_atom_site_type_symbol
_atom_site_fract_x
_atom_site_fract_y
_atom_site_fract_z
Sc1 Sc 0.1522 0.2500 0.1250
In1 In 0.0000 0.0000 0.5000
F1 F 0.0000 0.0000 0.0000
```